# 1
The following is a PBE calculation of crystalline AcPr2Sm2 at its relaxed geometry, from Alexandria.

Energy above the most stable polymorph in this dataset (meV per atom): 0.0
Energy of formation from the pure elements (eV/atom): 0.05
Calculated density (g/cm3): 7.31
Crystal system: orthorhombic

The structure in POSCAR format:
```
AcPr2Sm2
1.0
2.8632 -8.7630 0.0000
2.8632 8.7630 0.0000
0.0000 0.0000 7.3288
Ac Pr Sm
2 4 4
Direct
0.1036 0.8964 0.5000
0.8964 0.1036 0.0000
0.1111 0.8889 0.9973
0.3008 0.6992 0.7477
0.6992 0.3008 0.2477
0.8889 0.1111 0.4973
0.3016 0.6984 0.2492
0.5000 0.5000 0.2491
0.5000 0.5000 0.7491
0.6984 0.3016 0.7492
```

# 2
The following is a PBE calculation of crystalline Mg2CuSb at its relaxed geometry, from Alexandria.

Calculated density (g/cm3): 4.84
Formation energy without anion corrections (eV per atom): -0.02
Crystal system: orthorhombic

The structure in POSCAR format:
```
Mg2CuSb
1.0
3.0263 -4.1939 0.0000
3.0263 4.1939 0.0000
0.0000 0.0000 3.1623
Mg Cu Sb
2 1 1
Direct
0.0000 0.5000 0.0000
0.5000 0.0000 0.0000
0.0000 0.0000 0.5000
0.5000 0.5000 0.5000
```

# 3
The following is a PBE calculation of crystalline TbMg4Ni at its relaxed geometry, from Alexandria.

Energy of formation from the pure elements (eV/atom): -0.05
Calculated density (g/cm3): 3.94
Crystal system: monoclinic

The structure in POSCAR format:
```
TbMg4Ni
1.0
7.6956 -3.4438 0.0000
7.6956 3.4438 0.0000
-1.8443 0.0000 5.0082
Tb Mg Ni
2 8 2
Direct
0.2083 0.2083 0.2081
0.7917 0.7917 0.7919
0.1240 0.6589 0.3918
0.2018 0.7982 0.0000
0.3411 0.8760 0.6082
0.3421 0.3421 0.8418
0.6579 0.6579 0.1582
0.6589 0.1240 0.3918
0.7982 0.2018 0.0000
0.8760 0.3411 0.6082
0.4998 0.4998 0.2728
0.5002 0.5002 0.7272
```

calculated density of number 2 (Mg2CuSb)? 4.84 g/cm3

Number 3 is which compound? TbMg4Ni

The lowest calculated density belongs to which entry? TbMg4Ni